# 1
Density functional theory data (PBE) for a relaxed AlZn2Ga crystal.

## Properties
Polymorph energy (0 for the lowest one)   29 meV/atom

Lattice parameters (Å, degrees): 4.0697 4.0697 3.9505 90.00 90.00 90.00
Space group P4/mmm (No. 123)
Symmetry-distinct sites (fractional):
Al1 0.0000 0.0000 0.0000 x1
Zn1 0.0000 0.5000 0.5000 x2
Ga1 0.5000 0.5000 0.0000 x1

=====

# 2
Density functional theory data (PBE) for a relaxed La2Nd5Er3 crystal.

## Properties
Polymorph energy (0 for the lowest one)   0 meV/atom

Lattice parameters (Å, degrees): 12.2542 16.6225 6.7838 90.00 93.79 90.00
Space group C2/c (No. 15)
Symmetry-distinct sites (fractional):
La1 0.1243 0.2491 0.1295 x8
Nd1 0.0000 0.4633 0.2500 x4
Nd2 0.1245 0.1514 0.6293 x8
Nd3 0.2487 0.0352 0.9984 x8
Er1 0.0000 0.0377 0.2500 x4
Er2 0.1248 0.3498 0.6272 x8

=====

# 3
Density functional theory data (PBE) for a relaxed PmHo3Tm6Th2 crystal.

Lattice parameters (Å, degrees): 6.1292 10.6079 11.6150 90.00 100.15 90.00
Space group C2/m (No. 12)
Symmetry-distinct sites (fractional):
Pm1 0.0000 0.0000 0.0000 x2
Ho1 0.0000 0.1663 0.5000 x4
Ho2 0.0000 0.5000 0.5000 x2
Tm1 0.2458 0.5000 0.2494 x4
Tm2 0.2474 0.3311 0.7506 x8
Th1 0.0000 0.3332 0.0000 x4

=====

We obtain E_form values of 0.056 0.039 0.031 eV per atom for the records listed above, in that order.